A plane-wave DFT calculation with PBE-GGA was carried out for a geometry-optimized Er3LuCo structure.

The density of states at the Fermi level is 7.32 states/eV/cell. The formation energy is -0.02 eV per formula unit. The total magnetization is 0.000 μB/cell.

It has space group Pm-3m (No. 221), with a = 5.205 Å, b = 5.205 Å, c = 5.205 Å, α = 90.00°, β = 90.00° and γ = 90.00°. The distinct sites, in fractional coordinates, are Er at (0.000, 0.000, 0.500), Lu at (0.500, 0.500, 0.500) and Co at (0.000, 0.000, 0.000).